Density functional theory data (GGA-PBE) for a relaxed RuPbAu2 crystal.

Properties
- Energy: -0.16339 Ha/atom
- Formation energy: 42 kJ per mole of atoms
- Crystal system: tetragonal
- V: 160.4 Å³/cell
- Total moment: 0.4 μB/f.u.

Lattice parameters (Å, degrees): 3.9306 3.9306 10.7490 79.47 79.47 90.00
Closest atoms and distances in Å follow each position.
Fractional positions:
Pb (0.0000, 0.0000, 0.0000)  4 Ru 2.78, 4 Au 2.96
Pb (0.7500, 0.2500, 0.5000)  4 Ru 2.78, 4 Au 2.96
Ru (0.5000, 0.5000, 0.0000)  4 Pb 2.78, 4 Au 2.93
Ru (0.2500, 0.7500, 0.5000)  4 Pb 2.78, 4 Au 2.93
Au (0.6154, 0.1250, 0.2500)  4 Au 2.73-2.83, 2 Ru 2.93, 2 Pb 2.96
Au (0.1346, 0.6250, 0.2500)  4 Au 2.73-2.83, 2 Ru 2.93, 2 Pb 2.96
Au (0.3750, 0.3846, 0.7500)  4 Au 2.73-2.83, 2 Ru 2.93, 2 Pb 2.96
Au (0.8750, 0.8654, 0.7500)  4 Au 2.73-2.83, 2 Ru 2.93, 2 Pb 2.96